No. 1
DFT (GGA-PBE) results for crystalline La6TlZn at its relaxed geometry.

a b c (Å): 5.415 5.415 18.041
angles (deg): 90.00 90.00 90.00
Fractional positions:
1 La 0.000 0.000 0.248
2 La 0.000 0.000 0.752
3 La 0.000 0.500 0.109
4 La 0.000 0.500 0.391
5 La 0.000 0.500 0.609
6 La 0.000 0.500 0.891
7 La 0.500 0.000 0.109
8 La 0.500 0.000 0.391
9 La 0.500 0.000 0.609
10 La 0.500 0.000 0.891
11 La 0.500 0.500 0.252
12 La 0.500 0.500 0.748
13 Tl 0.000 0.000 0.000
14 Tl 0.500 0.500 0.500
15 Zn 0.000 0.000 0.500
16 Zn 0.500 0.500 0.000

## Properties
**Energy of formation from the pure elements**: -0.165 eV per atom
**Relative energy among the computed polymorphs**: 0 meV/atom


No. 2
DFT (GGA-PBE) results for crystalline LaTlZn at its relaxed geometry.

a b c (Å): 4.506 4.506 12.543
angles (deg): 90.00 90.00 120.00
Fractional positions:
1 La 0.000 0.000 0.000
2 La 0.000 0.000 0.500
3 Tl 0.000 0.000 0.250
4 Tl 0.000 0.000 0.750
5 Zn 0.333 0.667 0.250
6 Zn 0.667 0.333 0.750

## Properties
**Energy of formation from the pure elements**: 0.460 eV per atom


No. 3
DFT (GGA-PBE) results for crystalline LaTlZn4 at its relaxed geometry.

a b c (Å): 5.632 5.632 5.632
angles (deg): 60.00 60.00 60.00
Fractional positions:
1 La 0.000 0.000 0.000
2 Tl 0.750 0.750 0.750
3 Zn 0.374 0.374 0.374
4 Zn 0.374 0.374 0.878
5 Zn 0.374 0.878 0.374
6 Zn 0.878 0.374 0.374

## Properties
**Energy of formation from the pure elements**: -0.136 eV per atom


No. 4
DFT (GGA-PBE) results for crystalline La5Tl4Zn at its relaxed geometry.

a b c (Å): 3.826 3.826 20.852
angles (deg): 90.00 90.00 90.00
Fractional positions:
1 La 0.000 0.000 0.000
2 La 0.000 0.000 0.208
3 La 0.000 0.000 0.415
4 La 0.000 0.000 0.585
5 La 0.000 0.000 0.792
6 Tl 0.500 0.500 0.104
7 Tl 0.500 0.500 0.313
8 Tl 0.500 0.500 0.687
9 Tl 0.500 0.500 0.896
10 Zn 0.500 0.500 0.500

## Properties
**Energy of formation from the pure elements**: -0.412 eV per atom


No. 5
DFT (GGA-PBE) results for crystalline La2TlZn5 at its relaxed geometry.

a b c (Å): 8.761 8.761 9.204
angles (deg): 90.00 90.00 149.70
Fractional positions:
1 La 0.000 0.000 0.000
2 La 0.000 0.000 0.500
3 La 0.209 0.791 0.750
4 La 0.791 0.209 0.250
5 Tl 0.443 0.557 0.250
6 Tl 0.557 0.443 0.750
7 Zn 0.184 0.816 0.109
8 Zn 0.184 0.816 0.391
9 Zn 0.343 0.657 0.014
10 Zn 0.343 0.657 0.486
11 Zn 0.397 0.603 0.750
12 Zn 0.603 0.397 0.250
13 Zn 0.657 0.343 0.514
14 Zn 0.657 0.343 0.986
15 Zn 0.816 0.184 0.609
16 Zn 0.816 0.184 0.891

## Properties
**Energy of formation from the pure elements**: -0.335 eV per atom


No. 6
DFT (GGA-PBE) results for crystalline LaTl2Zn2 at its relaxed geometry.

a b c (Å): 7.971 7.971 3.987
angles (deg): 90.00 90.00 90.00
Fractional positions:
1 La 0.000 0.000 0.000
2 La 0.500 0.500 0.000
3 Tl 0.184 0.316 0.500
4 Tl 0.316 0.816 0.500
5 Tl 0.684 0.184 0.500
6 Tl 0.816 0.684 0.500
7 Zn 0.113 0.613 0.000
8 Zn 0.387 0.113 0.000
9 Zn 0.613 0.887 0.000
10 Zn 0.887 0.387 0.000

## Properties
**Energy of formation from the pure elements**: -0.109 eV per atom


No. 7
DFT (GGA-PBE) results for crystalline La2TlZn at its relaxed geometry.

a b c (Å): 3.902 5.466 5.510
angles (deg): 90.00 90.00 90.00
Fractional positions:
1 La 0.000 0.000 0.000
2 La 0.000 0.500 0.467
3 Tl 0.500 0.500 0.958
4 Zn 0.500 0.000 0.504

## Properties
**Energy of formation from the pure elements**: -0.341 eV per atom
**Relative energy among the computed polymorphs**: 29 meV/atom


No. 8
DFT (GGA-PBE) results for crystalline LaTl2Zn2 at its relaxed geometry.

a b c (Å): 8.616 8.616 3.377
angles (deg): 90.00 90.00 90.00
Fractional positions:
1 La 0.000 0.000 0.000
2 La 0.500 0.500 0.000
3 Tl 0.133 0.367 0.000
4 Tl 0.367 0.867 0.000
5 Tl 0.633 0.133 0.000
6 Tl 0.867 0.633 0.000
7 Zn 0.165 0.665 0.500
8 Zn 0.335 0.165 0.500
9 Zn 0.665 0.835 0.500
10 Zn 0.835 0.335 0.500

## Properties
**Energy of formation from the pure elements**: -0.014 eV per atom


No. 9
DFT (GGA-PBE) results for crystalline La2TlZn at its relaxed geometry.

a b c (Å): 7.785 7.785 7.785
angles (deg): 90.00 90.00 90.00
Fractional positions:
1 La 0.250 0.250 0.250
2 La 0.250 0.250 0.750
3 La 0.250 0.750 0.250
4 La 0.250 0.750 0.750
5 La 0.750 0.250 0.250
6 La 0.750 0.250 0.750
7 La 0.750 0.750 0.250
8 La 0.750 0.750 0.750
9 Tl 0.000 0.000 0.000
10 Tl 0.000 0.500 0.500
11 Tl 0.500 0.000 0.500
12 Tl 0.500 0.500 0.000
13 Zn 0.000 0.000 0.500
14 Zn 0.000 0.500 0.000
15 Zn 0.500 0.000 0.000
16 Zn 0.500 0.500 0.500

## Properties
**Energy of formation from the pure elements**: -0.352 eV per atom
**Relative energy among the computed polymorphs**: 18 meV/atom


No. 10
DFT (GGA-PBE) results for crystalline LaTlZn at its relaxed geometry.

a b c (Å): 7.298 7.298 7.298
angles (deg): 90.00 90.00 90.00
Fractional positions:
1 La 0.000 0.000 0.000
2 La 0.000 0.500 0.500
3 La 0.500 0.000 0.500
4 La 0.500 0.500 0.000
5 Tl 0.250 0.250 0.250
6 Tl 0.250 0.750 0.750
7 Tl 0.750 0.250 0.750
8 Tl 0.750 0.750 0.250
9 Zn 0.250 0.250 0.750
10 Zn 0.250 0.750 0.250
11 Zn 0.750 0.250 0.250
12 Zn 0.750 0.750 0.750

## Properties
**Energy of formation from the pure elements**: 0.071 eV per atom


No. 11
DFT (GGA-PBE) results for crystalline La2TlZn at its relaxed geometry.

a b c (Å): 3.859 3.839 7.843
angles (deg): 90.00 90.10 90.00
Fractional positions:
1 La 0.000 0.000 0.226
2 La 0.000 0.000 0.774
3 Tl 0.500 0.500 0.500
4 Zn 0.500 0.500 0.000

## Properties
**Energy of formation from the pure elements**: -0.370 eV per atom
**Relative energy among the computed polymorphs**: 0 meV/atom


No. 12
DFT (GGA-PBE) results for crystalline La3Tl3Zn8 at its relaxed geometry.

a b c (Å): 8.813 8.813 8.813
angles (deg): 149.89 111.76 76.37
Fractional positions:
1 La 0.000 0.000 0.000
2 La 0.307 0.307 0.000
3 La 0.693 0.693 0.000
4 Tl 0.273 0.500 0.773
5 Tl 0.500 0.000 0.500
6 Tl 0.727 0.500 0.227
7 Zn 0.042 0.668 0.374
8 Zn 0.097 0.839 0.258
9 Zn 0.294 0.668 0.626
10 Zn 0.418 0.161 0.258
11 Zn 0.582 0.839 0.742
12 Zn 0.706 0.332 0.374
13 Zn 0.903 0.161 0.742
14 Zn 0.958 0.332 0.626

## Properties
**Energy of formation from the pure elements**: -0.288 eV per atom


No. 13
DFT (GGA-PBE) results for crystalline La3Tl3Zn2 at its relaxed geometry.

a b c (Å): 6.253 6.253 16.046
angles (deg): 90.00 90.00 134.64
Fractional positions:
1 La 0.093 0.907 0.607
2 La 0.093 0.907 0.893
3 La 0.363 0.637 0.750
4 La 0.637 0.363 0.250
5 La 0.907 0.093 0.107
6 La 0.907 0.093 0.393
7 Tl 0.348 0.652 0.250
8 Tl 0.378 0.622 0.539
9 Tl 0.378 0.622 0.961
10 Tl 0.622 0.378 0.039
11 Tl 0.622 0.378 0.461
12 Tl 0.652 0.348 0.750
13 Zn 0.205 0.795 0.105
14 Zn 0.205 0.795 0.395
15 Zn 0.795 0.205 0.605
16 Zn 0.795 0.205 0.895

## Properties
**Energy of formation from the pure elements**: -0.363 eV per atom


No. 14
DFT (GGA-PBE) results for crystalline La6TlZn2 at its relaxed geometry.

a b c (Å): 9.048 9.048 9.048
angles (deg): 111.97 111.18 105.33
Fractional positions:
1 La 0.034 0.814 0.220
2 La 0.243 0.537 0.294
3 La 0.243 0.949 0.706
4 La 0.276 0.306 0.582
5 La 0.276 0.694 0.969
6 La 0.406 0.186 0.220
7 La 0.594 0.814 0.780
8 La 0.724 0.306 0.031
9 La 0.724 0.694 0.418
10 La 0.757 0.051 0.294
11 La 0.757 0.463 0.706
12 La 0.966 0.186 0.780
13 Tl 0.000 0.500 0.500
14 Tl 0.500 0.000 0.500
15 Zn 0.000 0.131 0.131
16 Zn 0.000 0.869 0.869
17 Zn 0.381 0.381 0.000
18 Zn 0.619 0.619 0.000

## Properties
**Energy of formation from the pure elements**: -0.200 eV per atom


No. 15
DFT (GGA-PBE) results for crystalline La5Tl6Zn at its relaxed geometry.

a b c (Å): 9.382 9.382 9.382
angles (deg): 149.00 120.14 68.95
Fractional positions:
1 La 0.000 0.000 0.000
2 La 0.174 0.674 0.500
3 La 0.359 0.359 0.000
4 La 0.641 0.641 0.000
5 La 0.826 0.326 0.500
6 Tl 0.078 0.830 0.248
7 Tl 0.242 0.500 0.742
8 Tl 0.417 0.170 0.248
9 Tl 0.583 0.830 0.752
10 Tl 0.758 0.500 0.258
11 Tl 0.922 0.170 0.752
12 Zn 0.500 0.000 0.500

## Properties
**Energy of formation from the pure elements**: -0.334 eV per atom


No. 16
DFT (GGA-PBE) results for crystalline LaTlZn at its relaxed geometry.

a b c (Å): 3.569 3.569 12.266
angles (deg): 90.00 90.00 90.00
Fractional positions:
1 La 0.000 0.000 0.000
2 La 0.500 0.500 0.500
3 Tl 0.000 0.000 0.302
4 Tl 0.500 0.500 0.802
5 Zn 0.000 0.000 0.663
6 Zn 0.500 0.500 0.163

## Properties
**Energy of formation from the pure elements**: -0.221 eV per atom


No. 17
DFT (GGA-PBE) results for crystalline LaTlZn at its relaxed geometry.

a b c (Å): 9.042 5.226 6.674
angles (deg): 90.00 90.00 90.00
Fractional positions:
1 La 0.167 0.000 0.250
2 La 0.333 0.500 0.750
3 La 0.667 0.500 0.250
4 La 0.833 0.000 0.750
5 Tl 0.000 0.500 0.000
6 Tl 0.000 0.500 0.500
7 Tl 0.500 0.000 0.000
8 Tl 0.500 0.000 0.500
9 Zn 0.167 0.000 0.749
10 Zn 0.333 0.500 0.251
11 Zn 0.667 0.500 0.749
12 Zn 0.833 0.000 0.251

## Properties
**Energy of formation from the pure elements**: -0.355 eV per atom


No. 18
DFT (GGA-PBE) results for crystalline LaTlZn3 at its relaxed geometry.

a b c (Å): 5.142 5.142 5.142
angles (deg): 90.00 90.00 90.00
Fractional positions:
1 La 0.000 0.000 0.000
2 Tl 0.500 0.500 0.500
3 Zn 0.000 0.500 0.500
4 Zn 0.500 0.000 0.500
5 Zn 0.500 0.500 0.000

## Properties
**Energy of formation from the pure elements**: 0.319 eV per atom
**Relative energy among the computed polymorphs**: 0 meV/atom


No. 19
DFT (GGA-PBE) results for crystalline LaTl4Zn at its relaxed geometry.

a b c (Å): 6.331 6.331 6.331
angles (deg): 60.00 60.00 60.00
Fractional positions:
1 La 0.000 0.000 0.000
2 Tl 0.126 0.625 0.625
3 Tl 0.625 0.126 0.625
4 Tl 0.625 0.625 0.126
5 Tl 0.625 0.625 0.625
6 Zn 0.250 0.250 0.250

## Properties
**Energy of formation from the pure elements**: 0.083 eV per atom


No. 20
DFT (GGA-PBE) results for crystalline La5Tl2Zn at its relaxed geometry.

a b c (Å): 6.994 13.545 5.355
angles (deg): 90.00 90.00 90.00
Fractional positions:
1 La 0.000 0.000 0.000
2 La 0.133 0.279 0.000
3 La 0.148 0.589 0.500
4 La 0.352 0.089 0.500
5 La 0.367 0.779 0.000
6 La 0.500 0.500 0.000
7 La 0.633 0.221 0.000
8 La 0.648 0.911 0.500
9 La 0.852 0.411 0.500
10 La 0.867 0.721 0.000
11 Tl 0.117 0.848 0.500
12 Tl 0.383 0.348 0.500
13 Tl 0.617 0.652 0.500
14 Tl 0.883 0.152 0.500
15 Zn 0.000 0.500 0.000
16 Zn 0.500 0.000 0.000

## Properties
**Energy of formation from the pure elements**: -0.311 eV per atom


No. 21
DFT (GGA-PBE) results for crystalline La3Tl4Zn2 at its relaxed geometry.

a b c (Å): 6.392 6.392 9.347
angles (deg): 110.05 110.05 45.20
Fractional positions:
1 La 0.000 0.000 0.000
2 La 0.336 0.336 0.331
3 La 0.664 0.664 0.669
4 Tl 0.086 0.086 0.412
5 Tl 0.314 0.314 0.969
6 Tl 0.686 0.686 0.031
7 Tl 0.914 0.914 0.588
8 Zn 0.381 0.381 0.712
9 Zn 0.619 0.619 0.288

## Properties
**Energy of formation from the pure elements**: -0.349 eV per atom


No. 22
DFT (GGA-PBE) results for crystalline LaTlZn at its relaxed geometry.

a b c (Å): 13.201 4.416 6.447
angles (deg): 90.00 118.91 90.00
Fractional positions:
1 La 0.000 0.000 0.000
2 La 0.137 0.500 0.605
3 La 0.500 0.500 0.000
4 La 0.637 0.000 0.605
5 Tl 0.304 0.000 0.028
6 Tl 0.426 0.500 0.442
7 Tl 0.804 0.500 0.028
8 Tl 0.926 0.000 0.442
9 Zn 0.183 0.500 0.162
10 Zn 0.275 0.000 0.473
11 Zn 0.683 0.000 0.162
12 Zn 0.775 0.500 0.473

## Properties
**Energy of formation from the pure elements**: -0.271 eV per atom


No. 23
DFT (GGA-PBE) results for crystalline La2TlZn at its relaxed geometry.

a b c (Å): 4.002 4.002 27.510
angles (deg): 90.00 90.00 120.00
Fractional positions:
1 La 0.000 0.000 0.000
2 La 0.000 0.000 0.224
3 La 0.333 0.667 0.667
4 La 0.333 0.667 0.891
5 La 0.667 0.333 0.333
6 La 0.667 0.333 0.557
7 Tl 0.000 0.000 0.466
8 Tl 0.333 0.667 0.133
9 Tl 0.667 0.333 0.800
10 Zn 0.000 0.000 0.743
11 Zn 0.333 0.667 0.409
12 Zn 0.667 0.333 0.076

## Properties
**Energy of formation from the pure elements**: -0.033 eV per atom
**Relative energy among the computed polymorphs**: 337 meV/atom


No. 24
DFT (GGA-PBE) results for crystalline La3TlZn at its relaxed geometry.

a b c (Å): 7.702 7.702 7.702
angles (deg): 90.00 90.00 90.00
Fractional positions:
1 La 0.000 0.000 0.000
2 La 0.269 0.269 0.269
3 La 0.269 0.269 0.731
4 La 0.269 0.731 0.269
5 La 0.269 0.731 0.731
6 La 0.731 0.269 0.269
7 La 0.731 0.269 0.731
8 La 0.731 0.731 0.269
9 La 0.731 0.731 0.731
10 Tl 0.000 0.000 0.500
11 Tl 0.000 0.500 0.000
12 Tl 0.500 0.000 0.000
13 Zn 0.000 0.500 0.500
14 Zn 0.500 0.000 0.500
15 Zn 0.500 0.500 0.000

## Properties
**Energy of formation from the pure elements**: -0.258 eV per atom
**Relative energy among the computed polymorphs**: 6 meV/atom


Here are the calculated electronic total energy numbers, same order: -4.3160, -2.3962, -2.2014, -3.9491, -2.6584, -2.5501, -3.7148, -2.4555, -3.7259, -2.7849, -3.7438, -2.5790, -3.4165, -4.0314, -3.6766, -3.0770, -3.2111, -1.9039, -2.5281, -4.1415, -3.3263, -3.1265, -3.4068, -3.9424 (eV per atom).